In2SbHO6 | PBE | optimized geometry

Uncorrected energy, eV/cell: -56.64
Volume, A^3/atom: 13.11
Magnetization, μB per atom: 0.000

The structure in POSCAR format:
```
In2SbHO6
1.0
5.409 0.000 0.000
2.661 4.829 0.000
0.102 2.872 5.019
In Sb H O
2 1 1 6
direct
0.000 0.000 0.000
0.453 0.068 0.452
0.778 0.429 0.389
0.384 0.555 0.675
0.040 0.244 0.191
0.135 0.256 0.656
0.403 0.545 0.196
0.558 0.570 0.664
0.707 0.868 0.208
0.817 0.013 0.652
```

***

PmAs2PtRh2 | PBE | optimized geometry

Volume, A^3/atom: 19.78
Calculated formation energy, meV per atom: -502
Magnetization, μB per atom: 0.000

The structure in POSCAR format:
```
PmAs2PtRh2
1.0
6.730 0.000 0.000
0.000 8.269 0.000
0.000 0.000 4.265
Pm As Pt Rh
2 4 2 4
direct
0.000 0.000 0.000
0.500 0.500 0.500
0.227 0.201 0.500
0.273 0.701 0.000
0.727 0.299 0.000
0.773 0.799 0.500
0.000 0.500 0.000
0.500 0.000 0.500
0.114 0.721 0.500
0.386 0.221 0.000
0.614 0.779 0.000
0.886 0.279 0.500
```

***

LaNd4Sm3 | PBE | optimized geometry

Volume, A^3/atom: 34.97
ΔE to the lowest computed polymorph, eV/atom: 0.000
Calculated formation energy, meV per atom: 14
Magnetization, μB per atom: 0.000

The structure in POSCAR format:
```
LaNd4Sm3
1.0
10.375 0.000 0.000
0.000 7.347 0.000
0.000 0.000 7.341
La Nd Sm
2 8 6
direct
0.000 0.000 0.000
0.500 0.000 0.500
0.000 0.000 0.500
0.000 0.500 0.000
0.250 0.252 0.250
0.250 0.748 0.750
0.500 0.000 0.000
0.500 0.500 0.500
0.750 0.252 0.250
0.750 0.748 0.750
0.000 0.500 0.500
0.250 0.252 0.750
0.250 0.748 0.250
0.500 0.500 0.000
0.750 0.252 0.750
0.750 0.748 0.250
```

***

KBa2OsO | PBE | optimized geometry

Volume, A^3/atom: 35.33
ΔE to the lowest computed polymorph, eV/atom: 0.000
ΔE_f (raw), eV per atom: 0.06
Magnetization, μB per atom: 0.000

The structure in POSCAR format:
```
KBa2OsO
1.0
6.790 0.000 0.000
0.000 6.790 0.000
0.000 0.000 3.831
K Ba Os O
1 2 1 1
direct
0.000 0.000 0.000
0.000 0.500 0.500
0.500 0.000 0.500
0.500 0.500 0.500
0.500 0.500 0.000
```